Density functional theory data (GGA+U) for crystalline MnTlBF6 at its relaxed geometry.

a = 5.078 Å, b = 5.756 Å, c = 6.422 Å
α = 86.56°, β = 82.05°, γ = 63.87°
Space group P1 (No. 1)
Symmetry-distinct sites (fractional):
Mn (0.000, 0.000, 0.000)
Tl (0.665, 0.670, 0.500)
B (0.291, 0.418, 0.000)
F (0.078, 0.581, 0.869)
F (0.176, 0.263, 0.123)
F (0.236, 0.993, 0.731)
F (0.341, 0.582, 0.131)
F (0.562, 0.262, 0.877)
F (0.772, 0.993, 0.269)

The value obtained for the total energy is -5.61 eV per atom. The size of the total moment comes out at 0.556 μB/atom.